# PBE SrRe2Si, relaxed
# * energy relative to the elements, uncorrected: 4.62 eV per formula unit
# * DOS at the Fermi energy: 7.74 states/eV per cell
data_SrRe2Si
_chemical_formula_sum 'Sr2 Re4 Si2'
_symmetry_space_group_name_H-M 'C m m m'
_symmetry_Int_Tables_number 65
_symmetry_space_group_name_Hall '-C 2 2'
_cell_length_a 5.721
_cell_length_b 9.658
_cell_length_c 2.618
_cell_angle_alpha 90.00
_cell_angle_beta 90.00
_cell_angle_gamma 90.00
loop_
_atom_site_label
_atom_site_fract_x
_atom_site_fract_y
_atom_site_fract_z
_atom_site_occupancy
Sr1 0.000 0.000 0.000 1
Re1 0.250 0.250 0.500 1
Si1 0.000 0.500 0.000 1

=====

# PBE SrReSi2, relaxed
# * energy relative to the elements, uncorrected: 0.33 eV per formula unit
# * DOS at the Fermi energy: 4.84 states/eV per cell
data_SrReSi2
_chemical_formula_sum 'Sr2 Re2 Si4'
_symmetry_space_group_name_H-M 'I m m 2'
_symmetry_Int_Tables_number 44
_cell_length_a 3.161
_cell_length_b 3.857
_cell_length_c 13.758
_cell_angle_alpha 90.00
_cell_angle_beta 90.00
_cell_angle_gamma 90.00
loop_
_symmetry_equiv_pos_as_xyz
'x,y,z'
'-x,-y,z'
'-x,y,z'
'x,-y,z'
'x+1/2,y+1/2,z+1/2'
'-x+1/2,-y+1/2,z+1/2'
'-x+1/2,y+1/2,z+1/2'
'x+1/2,-y+1/2,z+1/2'
loop_
_atom_site_label
_atom_site_fract_x
_atom_site_fract_y
_atom_site_fract_z
_atom_site_occupancy
Sr1 0.000 0.000 0.000 1
Re1 0.000 0.500 0.275 1
Si1 0.000 0.000 0.641 1
Si2 0.000 0.500 0.800 1

=====

# PBE SrRe2Si, relaxed
# * energy relative to the elements, uncorrected: 2.06 eV per formula unit
# * DOS at the Fermi energy: 6.17 states/eV per cell
data_SrRe2Si
_chemical_formula_sum 'Sr2 Re4 Si2'
_symmetry_space_group_name_H-M 'C 1 2/m 1'
_symmetry_Int_Tables_number 12
_cell_length_a 9.198
_cell_length_b 3.243
_cell_length_c 5.724
_cell_angle_alpha 90.00
_cell_angle_beta 103.31
_cell_angle_gamma 90.00
loop_
_symmetry_equiv_pos_as_xyz
'x,y,z'
'-x,-y,-z'
'-x,y,-z'
'x,-y,z'
'x+1/2,y+1/2,z'
'-x+1/2,-y+1/2,-z'
'-x+1/2,y+1/2,-z'
'x+1/2,-y+1/2,z'
loop_
_atom_site_label
_atom_site_fract_x
_atom_site_fract_y
_atom_site_fract_z
_atom_site_occupancy
Sr1 0.000 0.000 0.000 1
Re1 0.223 0.000 0.641 1
Si1 0.000 0.500 0.500 1

=====

# PBE SrReSi2, relaxed
# * energy relative to the elements, uncorrected: 0.32 eV per formula unit
# * DOS at the Fermi energy: 3.05 states/eV per cell
data_SrReSi2
_chemical_formula_sum 'Sr1 Re1 Si2'
_symmetry_space_group_name_H-M 'P 1 m 1'
_symmetry_Int_Tables_number 6
_cell_length_a 3.235
_cell_length_b 3.745
_cell_length_c 6.809
_cell_angle_alpha 90.00
_cell_angle_beta 103.56
_cell_angle_gamma 90.00
loop_
_symmetry_equiv_pos_as_xyz
'x,y,z'
'x,-y,z'
loop_
_atom_site_label
_atom_site_fract_x
_atom_site_fract_y
_atom_site_fract_z
_atom_site_occupancy
Sr1 0.000 0.000 0.000 1
Re1 0.708 0.500 0.410 1
Si1 0.240 0.000 0.475 1
Si2 0.354 0.500 0.707 1

=====

# PBE SrReSi2, relaxed
# * energy relative to the elements, uncorrected: 2.90 eV per formula unit
# * DOS at the Fermi energy: 7.32 states/eV per cell
data_SrReSi2
_chemical_formula_sum 'Sr2 Re2 Si4'
_symmetry_space_group_name_H-M 'C m m m'
_symmetry_Int_Tables_number 65
_symmetry_space_group_name_Hall '-C 2 2'
_cell_length_a 5.919
_cell_length_b 8.675
_cell_length_c 2.810
_cell_angle_alpha 90.00
_cell_angle_beta 90.00
_cell_angle_gamma 90.00
loop_
_atom_site_label
_atom_site_fract_x
_atom_site_fract_y
_atom_site_fract_z
_atom_site_occupancy
Sr1 0.000 0.000 0.000 1
Re1 0.000 0.500 0.000 1
Si1 0.250 0.250 0.500 1

=====

# PBE SrRe4Si, relaxed
# * energy relative to the elements, uncorrected: 4.28 eV per formula unit
# * DOS at the Fermi energy: 16.08 states/eV per cell
data_SrRe4Si
_chemical_formula_sum 'Sr4 Re16 Si4'
_symmetry_space_group_name_H-M 'F -4 3 m'
_symmetry_Int_Tables_number 216
_symmetry_space_group_name_Hall 'F -4 2 3'
_cell_length_a 7.558
_cell_length_b 7.558
_cell_length_c 7.558
_cell_angle_alpha 90.00
_cell_angle_beta 90.00
_cell_angle_gamma 90.00
loop_
_atom_site_label
_atom_site_fract_x
_atom_site_fract_y
_atom_site_fract_z
_atom_site_occupancy
Sr1 0.000 0.000 0.000 1
Re1 0.124 0.124 0.624 1
Si1 0.250 0.250 0.250 1

=====

# PBE SrReSi2, relaxed
# * energy relative to the elements, uncorrected: 3.06 eV per formula unit
# * DOS at the Fermi energy: 3.43 states/eV per cell
data_SrReSi2
_chemical_formula_sum 'Sr1 Re1 Si2'
_symmetry_space_group_name_H-M 'P 4/m m m'
_symmetry_Int_Tables_number 123
_symmetry_space_group_name_Hall '-P 4 2'
_cell_length_a 4.309
_cell_length_b 4.309
_cell_length_c 4.000
_cell_angle_alpha 90.00
_cell_angle_beta 90.00
_cell_angle_gamma 90.00
loop_
_atom_site_label
_atom_site_fract_x
_atom_site_fract_y
_atom_site_fract_z
_atom_site_occupancy
Sr1 0.000 0.000 0.000 1
Re1 0.500 0.500 0.000 1
Si1 0.000 0.500 0.500 1

=====

# PBE SrReSi2, relaxed
# * energy relative to the elements, uncorrected: 2.71 eV per formula unit
# * DOS at the Fermi energy: 6.50 states/eV per cell
data_SrReSi2
_chemical_formula_sum 'Sr2 Re2 Si4'
_symmetry_space_group_name_H-M 'C 1 2/m 1'
_symmetry_Int_Tables_number 12
_cell_length_a 6.221
_cell_length_b 7.577
_cell_length_c 3.246
_cell_angle_alpha 90.00
_cell_angle_beta 106.07
_cell_angle_gamma 90.00
loop_
_symmetry_equiv_pos_as_xyz
'x,y,z'
'-x,-y,-z'
'-x,y,-z'
'x,-y,z'
'x+1/2,y+1/2,z'
'-x+1/2,-y+1/2,-z'
'-x+1/2,y+1/2,-z'
'x+1/2,-y+1/2,z'
loop_
_atom_site_label
_atom_site_fract_x
_atom_site_fract_y
_atom_site_fract_z
_atom_site_occupancy
Sr1 0.000 0.000 0.000 1
Re1 0.000 0.500 0.000 1
Si1 0.250 0.250 0.500 1

=====

# PBE SrRe2Si, relaxed
# * energy relative to the elements, uncorrected: -0.03 eV per formula unit
# * DOS at the Fermi energy: 9.14 states/eV per cell
data_SrRe2Si
_chemical_formula_sum 'Sr3 Re6 Si3'
_symmetry_space_group_name_H-M 'R 3 m'
_symmetry_Int_Tables_number 160
_symmetry_space_group_name_Hall 'R 3 -2"'
_cell_length_a 4.3042
_cell_length_b 4.3042
_cell_length_c 17.0018
_cell_angle_alpha 90.00
_cell_angle_beta 90.00
_cell_angle_gamma 120.00
loop_
_atom_site_label
_atom_site_fract_x
_atom_site_fract_y
_atom_site_fract_z
_atom_site_occupancy
Sr1 0.0000 0.0000 0.0000 1
Re1 0.0000 0.0000 0.1922 1
Re2 0.0000 0.0000 0.4977 1
Si1 0.0000 0.0000 0.8089 1

=====

# PBE SrRe2Si, relaxed
# * energy relative to the elements, uncorrected: 3.39 eV per formula unit
# * DOS at the Fermi energy: 6.31 states/eV per cell
data_SrRe2Si
_chemical_formula_sum 'Sr2 Re4 Si2'
_symmetry_space_group_name_H-M 'I -4 m 2'
_symmetry_Int_Tables_number 119
_symmetry_space_group_name_Hall 'I -4 -2'
_cell_length_a 4.638
_cell_length_b 4.638
_cell_length_c 6.536
_cell_angle_alpha 90.00
_cell_angle_beta 90.00
_cell_angle_gamma 90.00
loop_
_atom_site_label
_atom_site_fract_x
_atom_site_fract_y
_atom_site_fract_z
_atom_site_occupancy
Sr1 0.000 0.000 0.000 1
Re1 0.000 0.000 0.500 1
Re2 0.000 0.500 0.750 1
Si1 0.000 0.500 0.250 1

=====

# PBE SrRe2Si, relaxed
# * energy relative to the elements, uncorrected: 2.06 eV per formula unit
# * DOS at the Fermi energy: 3.28 states/eV per cell
data_SrRe2Si
_chemical_formula_sum 'Sr1 Re2 Si1'
_symmetry_space_group_name_H-M 'P 4/m m m'
_symmetry_Int_Tables_number 123
_symmetry_space_group_name_Hall '-P 4 2'
_cell_length_a 3.167
_cell_length_b 3.167
_cell_length_c 7.586
_cell_angle_alpha 90.00
_cell_angle_beta 90.00
_cell_angle_gamma 90.00
loop_
_atom_site_label
_atom_site_fract_x
_atom_site_fract_y
_atom_site_fract_z
_atom_site_occupancy
Sr1 0.000 0.000 0.000 1
Re1 0.500 0.500 0.337 1
Si1 0.000 0.000 0.500 1

=====

# PBE SrRe2Si, relaxed
# * energy relative to the elements, uncorrected: 2.67 eV per formula unit
# * DOS at the Fermi energy: 22.88 states/eV per cell
data_SrRe2Si
_chemical_formula_sum 'Sr4 Re8 Si4'
_symmetry_space_group_name_H-M 'I -4 2 d'
_symmetry_Int_Tables_number 122
_symmetry_space_group_name_Hall 'I -4 2bw'
_cell_length_a 4.759
_cell_length_b 4.759
_cell_length_c 17.273
_cell_angle_alpha 90.00
_cell_angle_beta 90.00
_cell_angle_gamma 90.00
loop_
_atom_site_label
_atom_site_fract_x
_atom_site_fract_y
_atom_site_fract_z
_atom_site_occupancy
Sr1 0.000 0.000 0.000 1
Re1 0.048 0.750 0.625 1
Si1 0.000 0.000 0.500 1

=====

# PBE SrRe2Si, relaxed
# * energy relative to the elements, uncorrected: 4.52 eV per formula unit
# * DOS at the Fermi energy: 6.63 states/eV per cell
data_SrRe2Si
_chemical_formula_sum 'Sr2 Re4 Si2'
_symmetry_space_group_name_H-M 'I 4/m m m'
_symmetry_Int_Tables_number 139
_symmetry_space_group_name_Hall '-I 4 2'
_cell_length_a 3.923
_cell_length_b 3.923
_cell_length_c 9.711
_cell_angle_alpha 90.00
_cell_angle_beta 90.00
_cell_angle_gamma 90.00
loop_
_atom_site_label
_atom_site_fract_x
_atom_site_fract_y
_atom_site_fract_z
_atom_site_occupancy
Sr1 0.000 0.000 0.000 1
Re1 0.000 0.500 0.250 1
Si1 0.000 0.000 0.500 1

=====

# PBE SrRe2Si, relaxed
# * energy relative to the elements, uncorrected: 1.05 eV per formula unit
# * DOS at the Fermi energy: 1.68 states/eV per cell
data_SrRe2Si
_chemical_formula_sum 'Sr1 Re2 Si1'
_symmetry_space_group_name_H-M 'P 1 m 1'
_symmetry_Int_Tables_number 6
_cell_length_a 3.124
_cell_length_b 4.160
_cell_length_c 6.490
_cell_angle_alpha 90.00
_cell_angle_beta 101.21
_cell_angle_gamma 90.00
loop_
_symmetry_equiv_pos_as_xyz
'x,y,z'
'x,-y,z'
loop_
_atom_site_label
_atom_site_fract_x
_atom_site_fract_y
_atom_site_fract_z
_atom_site_occupancy
Sr1 0.000 0.000 0.000 1
Re1 0.316 0.000 0.494 1
Re2 0.759 0.500 0.421 1
Si1 0.384 0.500 0.723 1

=====

# PBE SrReSi2, relaxed
# * energy relative to the elements, uncorrected: -0.82 eV per formula unit
# * DOS at the Fermi energy: 8.10 states/eV per cell
data_SrReSi2
_chemical_formula_sum 'Sr3 Re3 Si6'
_symmetry_space_group_name_H-M 'R -3 m'
_symmetry_Int_Tables_number 166
_symmetry_space_group_name_Hall '-R 3 2"'
_cell_length_a 4.1638
_cell_length_b 4.1638
_cell_length_c 16.6687
_cell_angle_alpha 90.00
_cell_angle_beta 90.00
_cell_angle_gamma 120.00
loop_
_atom_site_label
_atom_site_fract_x
_atom_site_fract_y
_atom_site_fract_z
_atom_site_occupancy
Sr1 0.0000 0.0000 0.0000 1
Re1 0.0000 0.0000 0.5000 1
Si1 0.0000 0.0000 0.2033 1